No. 1
# PBE Rb2HgPtF6, optimized geometry
# - Density: 5.27 g cm⁻³
# - E_tot: -3.824 eV per atom
# - Energy relative to the elements, uncorrected: -1.87 eV per atom
# - Spin magnetization: 0.000 μB per cell
data_Rb2HgPtF6
_cell_length_a 6.7093
_cell_length_b 6.7293
_cell_length_c 9.5049
_cell_angle_alpha 90.00
_cell_angle_beta 90.00
_cell_angle_gamma 90.00
_space_group_name_H-M_alt 'I m m m'
_space_group_IT_number 71
_space_group_name_Hall '-I 2 2'
loop_
_atom_site_label
_atom_site_fract_x
_atom_site_fract_y
_atom_site_fract_z
_atom_site_occupancy
Rb1 0.0000 0.0000 0.2498 1
Hg1 0.0000 0.5000 0.0000 1
Pt1 0.0000 0.5000 0.5000 1
F1 0.0000 0.5000 0.2899 1
F2 0.2106 0.2902 0.5000 1


No. 2
# PBE RbHgPtF6, optimized geometry
# - Density: 6.24 g cm⁻³
# - E_tot: -3.705 eV per atom
# - Energy relative to the elements, uncorrected: -1.64 eV per atom
# - Spin magnetization: 0.000 μB per cell
# - DOS at the Fermi energy: 3.4 states/eV/f.u.
data_RbHgPtF6
_cell_length_a 5.0741
_cell_length_b 5.9815
_cell_length_c 5.9950
_cell_angle_alpha 60.49
_cell_angle_beta 89.70
_cell_angle_gamma 89.61
_space_group_name_H-M_alt 'P 1'
_space_group_IT_number 1
loop_
_space_group_symop_operation_xyz
'x,y,z'
loop_
_atom_site_label
_atom_site_fract_x
_atom_site_fract_y
_atom_site_fract_z
_atom_site_occupancy
Rb1 0.0000 0.0000 0.0000 1
Hg1 0.4734 0.3351 0.3316 1
Pt1 0.6698 0.6651 0.6684 1
F1 0.4527 0.8312 0.3559 1
F2 0.4564 0.8098 0.8428 1
F3 0.4622 0.3462 0.8177 1
F4 0.8777 0.9846 0.5176 1
F5 0.8833 0.5176 0.4959 1
F6 0.8864 0.5001 0.9820 1


Copy entry 2 word for word.
# PBE RbHgPtF6, optimized geometry
# - Density: 6.24 g cm⁻³
# - E_tot: -3.705 eV per atom
# - Energy relative to the elements, uncorrected: -1.64 eV per atom
# - Spin magnetization: 0.000 μB per cell
# - DOS at the Fermi energy: 3.4 states/eV/f.u.
data_RbHgPtF6
_cell_length_a 5.0741
_cell_length_b 5.9815
_cell_length_c 5.9950
_cell_angle_alpha 60.49
_cell_angle_beta 89.70
_cell_angle_gamma 89.61
_space_group_name_H-M_alt 'P 1'
_space_group_IT_number 1
loop_
_space_group_symop_operation_xyz
'x,y,z'
loop_
_atom_site_label
_atom_site_fract_x
_atom_site_fract_y
_atom_site_fract_z
_atom_site_occupancy
Rb1 0.0000 0.0000 0.0000 1
Hg1 0.4734 0.3351 0.3316 1
Pt1 0.6698 0.6651 0.6684 1
F1 0.4527 0.8312 0.3559 1
F2 0.4564 0.8098 0.8428 1
F3 0.4622 0.3462 0.8177 1
F4 0.8777 0.9846 0.5176 1
F5 0.8833 0.5176 0.4959 1
F6 0.8864 0.5001 0.9820 1